(1)
La2Ti2Au: optimized geometry, PBE-GGA.

a = 7.059 Å, b = 7.059 Å, c = 4.980 Å
α = 90.00°, β = 90.00°, γ = 90.00°
Positions (direct):
1 La 0.169 0.331 0.000
2 La 0.331 0.831 0.000
3 La 0.669 0.169 0.000
4 La 0.831 0.669 0.000
5 Ti 0.140 0.640 0.500
6 Ti 0.360 0.140 0.500
7 Ti 0.640 0.860 0.500
8 Ti 0.860 0.360 0.500
9 Au 0.000 0.000 0.500
10 Au 0.500 0.500 0.500

Results
- energy of formation (eV/atom) = -0.009
- space group = P4/mbm, No. 127
- magnetic moment (Bohr magnetons per cell) = 1.878
- N(E_F) (states/eV per atom) = 0.9775
- total energy (eV/atom) = -5.794



(2)
TaInSe3: optimized geometry, PBE-GGA.

a = 7.147 Å, b = 7.147 Å, c = 9.843 Å
α = 90.00°, β = 90.00°, γ = 150.73°
Positions (direct):
1 Ta 0.000 0.000 0.000
2 Ta 0.000 0.000 0.500
3 In 0.276 0.724 0.750
4 In 0.724 0.276 0.250
5 Se 0.057 0.943 0.250
6 Se 0.371 0.629 0.054
7 Se 0.371 0.629 0.446
8 Se 0.629 0.371 0.554
9 Se 0.629 0.371 0.946
10 Se 0.943 0.057 0.750

Results
- space group = Cmcm, No. 63
- magnetic moment (Bohr magnetons per cell) = 0.000
- N(E_F) (states/eV per atom) = 0.2607
- total energy (eV/atom) = -5.569



(3)
Dy4Ho5Th3: optimized geometry, PBE-GGA.

a = 9.276 Å, b = 9.276 Å, c = 8.613 Å
α = 113.81°, β = 113.81°, γ = 35.82°
Positions (direct):
1 Dy 0.039 0.039 0.200
2 Dy 0.215 0.215 0.156
3 Dy 0.785 0.785 0.844
4 Dy 0.961 0.961 0.800
5 Ho 0.000 0.000 0.500
6 Ho 0.335 0.335 0.604
7 Ho 0.403 0.403 0.053
8 Ho 0.597 0.597 0.947
9 Ho 0.665 0.665 0.396
10 Th 0.182 0.182 0.732
11 Th 0.500 0.500 0.500
12 Th 0.818 0.818 0.268

Results
- energy of formation (eV/atom) = 0.365
- space group = C2/m, No. 12
- magnetic moment (Bohr magnetons per cell) = 0.000
- N(E_F) (states/eV per atom) = 1.4839
- total energy (eV/atom) = -4.931



(4)
BaNiW: optimized geometry, PBE-GGA.

a = 4.212 Å, b = 4.212 Å, c = 11.261 Å
α = 100.75°, β = 100.75°, γ = 60.01°
Positions (direct):
1 Ba 0.000 0.000 0.000
2 Ba 0.539 0.539 0.621
3 Ni 0.446 0.446 0.339
4 Ni 0.813 0.813 0.443
5 W 0.112 0.112 0.339
6 W 0.741 0.741 0.224

Results
- energy of formation (eV/atom) = 0.441
- space group = Cm, No. 8
- magnetic moment (Bohr magnetons per cell) = 0.519
- N(E_F) (states/eV per atom) = 1.4174
- total energy (eV/atom) = -6.445
- energy relative to the lowest polymorph listed for this composition (meV per atom) = 120.7



(5)
CeNdPa: optimized geometry, PBE-GGA.

a = 5.434 Å, b = 5.434 Å, c = 3.309 Å
α = 90.00°, β = 90.00°, γ = 120.00°
Positions (direct):
1 Ce 0.000 0.000 0.000
2 Nd 0.333 0.667 0.500
3 Pa 0.667 0.333 0.000

Results
- energy of formation (eV/atom) = 0.288
- space group = P-6m2, No. 187
- magnetic moment (Bohr magnetons per cell) = 0.002
- N(E_F) (states/eV per atom) = 3.0490
- total energy (eV/atom) = -6.445
- energy relative to the lowest polymorph listed for this composition (meV per atom) = 131.0



(6)
Sr3CeGa2O8: optimized geometry, PBE-GGA.

a = 5.930 Å, b = 5.930 Å, c = 7.317 Å
α = 90.00°, β = 90.00°, γ = 120.00°
Positions (direct):
1 Sr 0.000 0.000 0.000
2 Sr 0.333 0.667 0.648
3 Sr 0.667 0.333 0.352
4 Ce 0.000 0.000 0.500
5 Ga 0.333 0.667 0.195
6 Ga 0.667 0.333 0.805
7 O 0.171 0.342 0.315
8 O 0.171 0.829 0.315
9 O 0.333 0.667 0.953
10 O 0.342 0.171 0.685
11 O 0.658 0.829 0.315
12 O 0.667 0.333 0.047
13 O 0.829 0.171 0.685
14 O 0.829 0.658 0.685

Results
- space group = P-3m1, No. 164
- magnetic moment (Bohr magnetons per cell) = 0.000
- N(E_F) (states/eV per atom) = 0.0000
- total energy (eV/atom) = -6.602



(7)
Sr2LiGa: optimized geometry, PBE-GGA.

a = 7.336 Å, b = 7.336 Å, c = 7.336 Å
α = 104.65°, β = 104.65°, γ = 119.63°
Positions (direct):
1 Sr 0.102 0.625 0.977
2 Sr 0.375 0.352 0.477
3 Sr 0.648 0.125 0.023
4 Sr 0.875 0.898 0.523
5 Li 0.250 0.750 0.500
6 Li 0.500 0.500 0.000
7 Ga 0.000 0.000 0.000
8 Ga 0.750 0.250 0.500

Results
- energy of formation (eV/atom) = 0.085
- space group = I-42d, No. 122
- magnetic moment (Bohr magnetons per cell) = 0.000
- N(E_F) (states/eV per atom) = 0.6804
- total energy (eV/atom) = -1.991



(8)
La2DyZrAs4: optimized geometry, PBE-GGA.

a = 7.206 Å, b = 4.158 Å, c = 7.249 Å
α = 90.00°, β = 109.22°, γ = 90.00°
Positions (direct):
1 La 0.000 0.000 0.000
2 La 0.500 0.500 0.000
3 Dy 0.000 0.500 0.500
4 Zr 0.500 0.000 0.500
5 As 0.252 0.000 0.730
6 As 0.265 0.500 0.274
7 As 0.735 0.500 0.726
8 As 0.748 0.000 0.270

Results
- energy of formation (eV/atom) = -1.443
- space group = P2/m, No. 10
- magnetic moment (Bohr magnetons per cell) = 0.000
- N(E_F) (states/eV per atom) = 0.1967
- total energy (eV/atom) = -6.643



(9)
PmPrSm2Dy: optimized geometry, PBE-GGA.

a = 8.422 Å, b = 6.613 Å, c = 6.291 Å
α = 90.00°, β = 93.75°, γ = 90.00°
Positions (direct):
1 Pm 0.000 0.067 0.250
2 Pm 0.000 0.933 0.750
3 Pr 0.000 0.500 0.000
4 Pr 0.000 0.500 0.500
5 Sm 0.311 0.191 0.729
6 Sm 0.311 0.809 0.229
7 Sm 0.689 0.191 0.771
8 Sm 0.689 0.809 0.271
9 Dy 0.500 0.335 0.250
10 Dy 0.500 0.665 0.750

Results
- energy of formation (eV/atom) = 0.272
- space group = P2/c, No. 13
- magnetic moment (Bohr magnetons per cell) = 0.000
- N(E_F) (states/eV per atom) = 1.3280
- total energy (eV/atom) = -4.442



(10)
Mn2AgAs: optimized geometry, PBE-GGA.

a = 3.231 Å, b = 3.231 Å, c = 6.135 Å
α = 90.00°, β = 90.00°, γ = 90.00°
Positions (direct):
1 Mn 0.000 0.000 0.000
2 Mn 0.500 0.500 0.244
3 Ag 0.000 0.000 0.498
4 As 0.500 0.500 0.821

Results
- energy of formation (eV/atom) = 0.150
- space group = P4mm, No. 99
- magnetic moment (Bohr magnetons per cell) = 6.693
- N(E_F) (states/eV per atom) = 0.2867
- total energy (eV/atom) = -6.310



(11)
Y3Zr7Ir4: optimized geometry, PBE-GGA.

a = 8.713 Å, b = 8.713 Å, c = 10.209 Å
α = 123.79°, β = 123.79°, γ = 30.03°
Positions (direct):
1 Y 0.000 0.000 0.000
2 Y 0.311 0.311 0.309
3 Y 0.689 0.689 0.691
4 Zr 0.000 0.000 0.500
5 Zr 0.162 0.162 0.422
6 Zr 0.309 0.309 0.964
7 Zr 0.494 0.494 0.708
8 Zr 0.506 0.506 0.292
9 Zr 0.691 0.691 0.036
10 Zr 0.838 0.838 0.578
11 Ir 0.112 0.112 0.845
12 Ir 0.333 0.333 0.716
13 Ir 0.667 0.667 0.284
14 Ir 0.888 0.888 0.155

Results
- energy of formation (eV/atom) = -0.560
- space group = C2/m, No. 12
- magnetic moment (Bohr magnetons per cell) = 0.000
- N(E_F) (states/eV per atom) = 0.9895
- total energy (eV/atom) = -8.751



(12)
CaIn2Co: optimized geometry, PBE-GGA.

a = 3.455 Å, b = 4.451 Å, c = 6.102 Å
α = 90.00°, β = 105.36°, γ = 90.00°
Positions (direct):
1 Ca 0.000 0.000 0.000
2 In 0.355 0.500 0.712
3 In 0.645 0.500 0.288
4 Co 0.500 0.000 0.500

Results
- energy of formation (eV/atom) = 0.048
- space group = P2/m, No. 10
- magnetic moment (Bohr magnetons per cell) = 1.175
- N(E_F) (states/eV per atom) = 1.1077
- total energy (eV/atom) = -3.598